TlTc2Se | the Alexandria database | PBE-GGA | relaxed; total DFT energy (no corrections) = -23.42 eV for the cell shown; symmetry = No. 119; formation energy from raw total energies = 76.4 kJ/mol of atoms
1.0
4.9291 0.0067 0.0000
1.2679 4.7633 0.0000
-3.0985 -2.3850 3.0012
Se Tc Tl
1 2 1
Cartesian
2.4646 0.0033 1.5006
0.0000 0.0000 0.0000
0.6339 2.3816 1.5006
3.0985 2.3850 0.0000